Record 1
Crystalline CaCoCu2 at its relaxed geometry, computed with PBE-GGA.

abc: 8.7730 8.7730 8.7730
angles: 19.24 19.24 19.24
Last column: magnetic moment on the atom in μB.
Sites, in units of the cell vectors:
Ca1 0.2500 0.2500 0.2500  0.03
Co1 0.7500 0.7500 0.7500  1.84
Cu1 0.0110 0.0110 0.0110  0.06
Cu2 0.4890 0.4890 0.4890  0.06

Summary:
mass density = 5.9 g cm⁻³
magnetic moment = 1.98 μB/cell
energy of formation = 0.607 eV per atom
energy = -3.72 eV per atom
Fermi-level density of states = 3.84 states/eV/cell

=====

Record 2
Crystalline CaCoCu at its relaxed geometry, computed with PBE-GGA.

abc: 4.3703 4.3703 4.3703
angles: 60.00 60.00 60.00
Last column: magnetic moment on the atom in μB.
Sites, in units of the cell vectors:
Ca1 0.5000 0.5000 0.5000  -0.01
Co1 0.7500 0.7500 0.7500  1.25
Cu1 0.0000 0.0000 0.0000  0.07

Summary:
mass density = 4.6 g cm⁻³
magnetic moment = 1.23 μB/cell
energy of formation = 0.553 eV per atom
energy = -3.85 eV per atom
Fermi-level density of states = 7.36 states/eV/cell

=====

Record 3
Crystalline CaCoCu2 at its relaxed geometry, computed with PBE-GGA.

abc: 4.9514 4.9514 4.9514
angles: 137.59 127.14 70.00
Last column: magnetic moment on the atom in μB.
Sites, in units of the cell vectors:
Ca1 0.7500 0.2500 0.5000  -0.06
Co1 0.2500 0.7500 0.5000  1.32
Cu1 0.0276 0.0276 0.0000  0.02
Cu2 0.4724 0.4724 0.0000  0.02

Summary:
mass density = 5.9 g cm⁻³
magnetic moment = 1.14 μB/cell
energy of formation = 0.306 eV per atom
energy = -4.02 eV per atom
Fermi-level density of states = 3.91 states/eV/cell

=====

Record 4
Crystalline CaCo2Cu at its relaxed geometry, computed with PBE-GGA.

abc: 3.6290 3.9731 4.1588
angles: 90.00 90.00 90.00
Last column: magnetic moment on the atom in μB.
Sites, in units of the cell vectors:
Ca1 0.0000 0.5000 0.5000  -0.08
Co1 0.0000 0.0000 0.0000  1.44
Co2 0.5000 0.5000 0.0000  1.42
Cu1 0.5000 0.0000 0.5000  -0.01

Summary:
mass density = 6.1 g cm⁻³
magnetic moment = 2.55 μB/cell
energy of formation = 0.433 eV per atom
energy = -4.64 eV per atom
Fermi-level density of states = 4.03 states/eV/cell

=====

Record 5
Crystalline CaCoCu2 at its relaxed geometry, computed with PBE-GGA.

abc: 4.1338 4.1338 5.4142
angles: 67.71 67.71 59.99
Last column: magnetic moment on the atom in μB.
Sites, in units of the cell vectors:
Ca1 0.5008 0.5008 0.4978  -0.03
Co1 0.3126 0.3126 0.0622  1.03
Cu1 0.9935 0.9935 0.0194  0.07
Cu2 0.6931 0.6931 0.9206  0.02

Summary:
mass density = 5.2 g cm⁻³
magnetic moment = 0.93 μB/cell
energy of formation = 0.087 eV per atom
energy = -4.24 eV per atom
Fermi-level density of states = 4.56 states/eV/cell

=====

Record 6
Crystalline CaCo2Cu2 at its relaxed geometry, computed with PBE-GGA.

abc: 3.7110 3.7110 6.2436
angles: 72.71 72.71 90.00
Last column: magnetic moment on the atom in μB.
Sites, in units of the cell vectors:
Ca1 0.0000 0.0000 0.0000  -0.04
Co1 0.7500 0.2500 0.5000  1.64
Co2 0.2500 0.7500 0.5000  1.64
Cu1 0.3908 0.3908 0.2183  0.04
Cu2 0.6092 0.6092 0.7817  0.04

Summary:
mass density = 6.1 g cm⁻³
magnetic moment = 3.10 μB/cell
energy of formation = 0.209 eV per atom
energy = -4.67 eV per atom
Fermi-level density of states = 5.70 states/eV/cell

=====

Record 7
Crystalline CaCoCu2 at its relaxed geometry, computed with PBE-GGA.

abc: 3.9707 3.9707 3.9074
angles: 90.01 90.01 90.05
Last column: magnetic moment on the atom in μB.
Sites, in units of the cell vectors:
Ca1 0.5000 0.0000 0.5000  -0.04
Co1 0.0000 0.5000 0.5000  0.95
Cu1 0.0000 0.0000 0.0000  -0.03
Cu2 0.5000 0.5000 0.0000  -0.03

Summary:
mass density = 6.1 g cm⁻³
magnetic moment = 0.71 μB/cell
energy of formation = 0.299 eV per atom
energy = -4.03 eV per atom
Fermi-level density of states = 2.73 states/eV/cell

=====

Record 8
Crystalline CaCo2Cu at its relaxed geometry, computed with PBE-GGA.

abc: 4.1020 4.1020 5.4643
angles: 68.08 68.08 59.99
Last column: magnetic moment on the atom in μB.
Sites, in units of the cell vectors:
Ca1 0.7500 0.7500 0.7500  -0.07
Co1 0.9339 0.9339 0.1983  1.34
Co2 0.5661 0.5661 0.3017  1.34
Cu1 0.2500 0.2500 0.2500  0.04

Summary:
mass density = 5.1 g cm⁻³
magnetic moment = 2.40 μB/cell
energy of formation = 0.132 eV per atom
energy = -4.95 eV per atom
Fermi-level density of states = 2.94 states/eV/cell

=====

Record 9
Crystalline CaCo2Cu at its relaxed geometry, computed with PBE-GGA.

abc: 4.2595 4.2595 9.0204
angles: 76.34 76.34 90.00
Last column: magnetic moment on the atom in μB.
Sites, in units of the cell vectors:
Ca1 0.5000 0.5000 0.0000  -0.05
Ca2 0.2500 0.7500 0.5000  -0.05
Co1 0.8174 0.1250 0.2500  1.53
Co2 0.9326 0.6250 0.2500  1.56
Co3 0.3750 0.1826 0.7500  1.42
Co4 0.8750 0.0674 0.7500  1.45
Cu1 0.0000 0.0000 0.0000  0.08
Cu2 0.7500 0.2500 0.5000  0.07

Summary:
mass density = 4.8 g cm⁻³
magnetic moment = 5.59 μB/cell
energy of formation = 0.472 eV per atom
energy = -4.61 eV per atom
Fermi-level density of states = 9.75 states/eV/cell

=====

Record 10
Crystalline CaCo2Cu at its relaxed geometry, computed with PBE-GGA.

abc: 3.0263 3.0832 7.3722
angles: 65.27 90.00 90.00
Last column: magnetic moment on the atom in μB.
Sites, in units of the cell vectors:
Ca1 0.5000 0.7443 0.7556  -0.04
Co1 0.0000 0.9277 0.0724  1.60
Co2 0.5000 0.2691 0.2310  1.76
Cu1 0.0000 0.5589 0.4410  0.01

Summary:
mass density = 5.9 g cm⁻³
magnetic moment = 3.18 μB/cell
energy of formation = 0.237 eV per atom
energy = -4.84 eV per atom
Fermi-level density of states = 3.12 states/eV/cell

=====

Record 11
Crystalline CaCo2Cu at its relaxed geometry, computed with PBE-GGA.

abc: 5.0329 5.0329 5.0329
angles: 135.86 135.86 64.19
Last column: magnetic moment on the atom in μB.
Sites, in units of the cell vectors:
Ca1 0.7500 0.2500 0.5000  -0.06
Co1 0.0000 0.0000 0.0000  1.60
Co2 0.5000 0.5000 0.0000  1.60
Cu1 0.2500 0.7500 0.5000  0.00

Summary:
mass density = 6.0 g cm⁻³
magnetic moment = 3.00 μB/cell
energy of formation = 0.451 eV per atom
energy = -4.63 eV per atom
Fermi-level density of states = 4.13 states/eV/cell

=====

Record 12
Crystalline CaCoCu2 at its relaxed geometry, computed with PBE-GGA.

abc: 3.1537 3.1560 6.4126
angles: 90.00 90.00 90.00
Last column: magnetic moment on the atom in μB.
Sites, in units of the cell vectors:
Ca1 0.0000 0.0000 0.5066  -0.06
Co1 0.5000 0.5000 0.8110  1.28
Cu1 0.0000 0.0000 0.9934  0.06
Cu2 0.5000 0.5000 0.1890  0.00

Summary:
mass density = 5.9 g cm⁻³
magnetic moment = 1.07 μB/cell
energy of formation = 0.257 eV per atom
energy = -4.07 eV per atom
Fermi-level density of states = 3.45 states/eV/cell

=====

Record 13
Crystalline CaCo2Cu at its relaxed geometry, computed with PBE-GGA.

abc: 4.3230 2.9439 5.2305
angles: 79.16 90.00 90.00
Last column: magnetic moment on the atom in μB.
Sites, in units of the cell vectors:
Ca1 0.5000 0.7500 0.7500  -0.09
Co1 0.0000 0.0523 0.0799  1.54
Co2 0.0000 0.4477 0.4201  1.54
Cu1 0.5000 0.2500 0.2500  0.02

Summary:
mass density = 5.6 g cm⁻³
magnetic moment = 2.77 μB/cell
energy of formation = 0.421 eV per atom
energy = -4.66 eV per atom
Fermi-level density of states = 5.64 states/eV/cell

=====

Record 14
Crystalline Ca2CoCu2 at its relaxed geometry, computed with PBE-GGA.

abc: 5.5490 5.5490 5.3031
angles: 58.45 58.45 90.00
Last column: magnetic moment on the atom in μB.
Sites, in units of the cell vectors:
Ca1 0.7500 0.2500 0.5000  -0.04
Ca2 0.2500 0.7500 0.5000  -0.04
Co1 0.0000 0.0000 0.0000  1.47
Cu1 0.3370 0.3370 0.3260  0.01
Cu2 0.6630 0.6630 0.6740  0.01

Summary:
mass density = 4.0 g cm⁻³
magnetic moment = 1.19 μB/cell
energy of formation = 0.291 eV per atom
energy = -3.57 eV per atom
Fermi-level density of states = 8.70 states/eV/cell

=====

Record 15
Crystalline CaCo2Cu at its relaxed geometry, computed with PBE-GGA.

abc: 2.9316 3.4156 6.3115
angles: 90.00 90.00 90.00
Last column: magnetic moment on the atom in μB.
Sites, in units of the cell vectors:
Ca1 0.5000 0.5000 0.7500  -0.10
Co1 0.0000 0.0000 0.0725  1.51
Co2 0.0000 0.0000 0.4275  1.51
Cu1 0.5000 0.5000 0.2500  0.07

Summary:
mass density = 5.8 g cm⁻³
magnetic moment = 2.71 μB/cell
energy of formation = 0.388 eV per atom
energy = -4.69 eV per atom
Fermi-level density of states = 4.47 states/eV/cell